[1]
NaTcAu3 (PBEsol, relaxed); energy = -3.315 eV/atom; total magnetic moment = 0.6009 μB per atom
1.0
4.6497 0.0000 0.0000
0.0000 4.6497 0.0000
0.0000 0.0000 4.6497
Na Tc Au
1 1 3
direct
0.0000 0.0000 0.0000
0.5000 0.5000 0.5000
0.0000 0.0000 0.5000
0.0000 0.5000 0.0000
0.5000 0.0000 0.0000

***

[2]
NaTeAu (PBEsol, relaxed); energy relative to the elements, uncorrected = -0.487 eV/atom; total magnetic moment = 0.0000 μB per atom
1.0
4.6254 0.0000 0.0000
-2.3127 4.0057 0.0000
0.0000 0.0000 8.3685
Na Te Au
2 2 2
direct
0.0000 0.0000 0.0000
0.0000 0.0000 0.5000
0.3333 0.6667 0.2500
0.6667 0.3333 0.7500
0.3333 0.6667 0.7500
0.6667 0.3333 0.2500

***

[3]
NaTiAu3 (PBEsol, relaxed); energy = -3.336 eV/atom; total magnetic moment = 0.4115 μB per atom
1.0
4.7118 0.0000 0.0000
0.0000 4.7118 0.0000
0.0000 0.0000 4.7118
Na Ti Au
1 1 3
direct
0.0000 0.0000 0.0000
0.5000 0.5000 0.5000
0.0000 0.0000 0.5000
0.0000 0.5000 0.0000
0.5000 0.0000 0.0000